[1]
# GGA-PBE SnSb2TeRu, optimized geometry
data_SnSb2TeRu
_cell_length_a 5.0037
_cell_length_b 5.0037
_cell_length_c 5.8036
_cell_angle_alpha 90.00
_cell_angle_beta 90.00
_cell_angle_gamma 90.00
_space_group_name_H-M_alt 'P 4/m m m'
_space_group_IT_number 123
_space_group_name_Hall '-P 4 2'
loop_
_atom_site_label
_atom_site_fract_x
_atom_site_fract_y
_atom_site_fract_z
_atom_site_occupancy
Sn1 0.0000 0.0000 0.0000 1
Sb1 0.0000 0.5000 0.5000 1
Te1 0.5000 0.5000 0.0000 1
Ru1 0.5000 0.5000 0.5000 1
# Crystal system: tetragonal
# Formation energy (no corrections): 168 kJ/mol of formula units
# Polymorph energy (0 for the lowest one): 0.00 kJ/mol of atoms
# V: 145.3 Å³ per cell

[2]
# GGA-PBE Ac5GePb2, optimized geometry
data_Ac5GePb2
_cell_length_a 6.4458
_cell_length_b 10.6045
_cell_length_c 18.0337
_cell_angle_alpha 90.00
_cell_angle_beta 90.00
_cell_angle_gamma 90.00
_space_group_name_H-M_alt 'C m c m'
_space_group_IT_number 63
_space_group_name_Hall '-C 2c 2'
loop_
_atom_site_label
_atom_site_fract_x
_atom_site_fract_y
_atom_site_fract_z
_atom_site_occupancy
Ac1 0.0000 0.0856 0.1040 1
Ac2 0.0000 0.2503 0.7500 1
Ac3 0.0000 0.4140 0.1044 1
Ge1 0.0000 0.2492 0.2500 1
Pb1 0.0000 0.2504 0.5641 1
# Crystal system: orthorhombic
# Energy of formation from the pure elements: -0.326 eV/atom
# Polymorph energy (0 for the lowest one): 19.79 kJ/mol of atoms
# V: 1232.7 Å³ per cell

[3]
# GGA-PBE Cd2InHg5, optimized geometry
data_Cd2InHg5
_cell_length_a 7.8143
_cell_length_b 7.8143
_cell_length_c 13.5876
_cell_angle_alpha 90.00
_cell_angle_beta 90.00
_cell_angle_gamma 90.00
_space_group_name_H-M_alt 'I 4/m c m'
_space_group_IT_number 140
_space_group_name_Hall '-I 4 2c'
loop_
_atom_site_label
_atom_site_fract_x
_atom_site_fract_y
_atom_site_fract_z
_atom_site_occupancy
Cd1 0.1435 0.3565 0.0000 1
In1 0.0000 0.0000 0.2500 1
Hg1 0.0000 0.0000 0.0000 1
Hg2 0.1516 0.3484 0.3399 1
# Crystal system: tetragonal
# Energy of formation from the pure elements: 0.018 eV/atom
# Polymorph energy (0 for the lowest one): 0.36 kJ/mol of atoms
# V: 829.7 Å³ per cell

[4]
# GGA-PBE Ho4MgBi2, optimized geometry
data_Ho4MgBi2
_cell_length_a 6.4194
_cell_length_b 6.6377
_cell_length_c 9.9455
_cell_angle_alpha 90.00
_cell_angle_beta 92.97
_cell_angle_gamma 90.00
_space_group_name_H-M_alt 'P 1 21/m 1'
_space_group_IT_number 11
loop_
_space_group_symop_operation_xyz
'x,y,z'
'-x,-y,-z'
'-x,y+1/2,-z'
'x,-y+1/2,z'
loop_
_atom_site_label
_atom_site_fract_x
_atom_site_fract_y
_atom_site_fract_z
_atom_site_occupancy
Ho1 0.0355 0.2500 0.2397 1
Ho2 0.1590 0.7500 0.4294 1
Ho3 0.4436 0.5099 0.7551 1
Mg1 0.1916 0.7500 0.0734 1
Bi1 0.2842 0.2500 0.9924 1
Bi2 0.3268 0.2500 0.4895 1
# Crystal system: monoclinic
# Energy of formation from the pure elements: -0.302 eV/atom
# V: 423.2 Å³ per cell

[5]
# GGA-PBE Tb2Pr2Dy15, optimized geometry
data_Tb2Pr2Dy15
_cell_length_a 11.2342
_cell_length_b 11.2342
_cell_length_c 17.5499
_cell_angle_alpha 90.00
_cell_angle_beta 90.00
_cell_angle_gamma 120.00
_space_group_name_H-M_alt 'R -3 m'
_space_group_IT_number 166
_space_group_name_Hall '-R 3 2"'
loop_
_atom_site_label
_atom_site_fract_x
_atom_site_fract_y
_atom_site_fract_z
_atom_site_occupancy
Tb1 0.0000 0.0000 0.0956 1
Pr1 0.0000 0.0000 0.3280 1
Dy1 0.0000 0.2977 0.0000 1
Dy2 0.0000 0.5000 0.5000 1
Dy3 0.0118 0.5059 0.1374 1
# Crystal system: trigonal
# Energy of formation from the pure elements: 0.275 eV/atom
# V: 1918.2 Å³ per cell

[6]
# GGA-PBE Th6NiC2S3, optimized geometry
data_Th6NiC2S3
_cell_length_a 17.6180
_cell_length_b 3.8695
_cell_length_c 8.1457
_cell_angle_alpha 90.00
_cell_angle_beta 105.22
_cell_angle_gamma 90.00
_space_group_name_H-M_alt 'C 1 2/m 1'
_space_group_IT_number 12
loop_
_space_group_symop_operation_xyz
'x,y,z'
'-x,-y,-z'
'-x,y,-z'
'x,-y,z'
'x+1/2,y+1/2,z'
'-x+1/2,-y+1/2,-z'
'-x+1/2,y+1/2,-z'
'x+1/2,-y+1/2,z'
loop_
_atom_site_label
_atom_site_fract_x
_atom_site_fract_y
_atom_site_fract_z
_atom_site_occupancy
Th1 0.0125 0.0000 0.2464 1
Th2 0.1690 0.5000 0.1157 1
Th3 0.1744 0.5000 0.5641 1
Ni1 0.0000 0.5000 0.0000 1
C1 0.1701 0.0000 0.3359 1
S1 0.0000 0.5000 0.5000 1
S2 0.1628 0.0000 0.8339 1
# Crystal system: monoclinic
# Formation energy (no corrections): -1285 kJ/mol of formula units
# V: 535.8 Å³ per cell

[7]
# GGA-PBE PH2Au, optimized geometry
data_PH2Au
_cell_length_a 8.0743
_cell_length_b 4.5573
_cell_length_c 4.3486
_cell_angle_alpha 90.00
_cell_angle_beta 119.13
_cell_angle_gamma 90.00
_space_group_name_H-M_alt 'C 1 m 1'
_space_group_IT_number 8
loop_
_space_group_symop_operation_xyz
'x,y,z'
'x,-y,z'
'x+1/2,y+1/2,z'
'x+1/2,-y+1/2,z'
loop_
_atom_site_label
_atom_site_fract_x
_atom_site_fract_y
_atom_site_fract_z
_atom_site_occupancy
P1 0.0000 0.0000 0.0000 1
H1 0.0956 0.0000 0.7976 1
H2 0.3111 0.5000 0.7013 1
Au1 0.0290 0.5000 0.1443 1
# Crystal system: monoclinic
# Polymorph energy (0 for the lowest one): 0.00 kJ/mol of atoms
# V: 139.8 Å³ per cell

[8]
# GGA-PBE Tb7Pm2, optimized geometry
data_Tb7Pm2
_cell_length_a 6.2011
_cell_length_b 6.2011
_cell_length_c 8.7573
_cell_angle_alpha 90.00
_cell_angle_beta 90.00
_cell_angle_gamma 120.00
_space_group_name_H-M_alt 'P -3 1 m'
_space_group_IT_number 162
_space_group_name_Hall '-P 3 2'
loop_
_atom_site_label
_atom_site_fract_x
_atom_site_fract_y
_atom_site_fract_z
_atom_site_occupancy
Tb1 0.0000 0.0000 0.0000 1
Tb2 0.0000 0.3327 0.6649 1
Pm1 0.3333 0.6667 0.0000 1
# Crystal system: trigonal
# Energy of formation from the pure elements: 0.015 eV/atom
# Polymorph energy (0 for the lowest one): 0.00 kJ/mol of atoms
# V: 291.6 Å³ per cell

Number 1: raw total energy -4.58 eV per atom. Number 2: raw total energy -4.40 eV per atom. Number 3: raw total energy -0.74 eV per atom. Number 4: raw total energy -4.25 eV per atom. Number 5: raw total energy -4.35 eV per atom. Number 6: raw total energy -7.87 eV per atom. Number 7: raw total energy -3.87 eV per atom. Number 8: raw total energy -4.64 eV per atom.